NaPmV2O6 PBE+U relaxed; symmetry = No. 15; energy = -7.38 eV/atom; total magnetic moment = 4.00 μB/cell
1.0
5.3500 -5.0030 0.0000
5.3500 5.0030 0.0000
-2.0875 0.0000 5.8331
Na Pm V O
2 2 4 12
direct
0.2117 0.7883 0.7500 Na
0.7883 0.2117 0.2500 Na
0.3997 0.6003 0.2500 Pm
0.6003 0.3997 0.7500 Pm
0.1139 0.2853 0.7373 V
0.2853 0.1139 0.2373 V
0.7147 0.8861 0.7627 V
0.8861 0.7147 0.2627 V
0.1157 0.6282 0.3506 O
0.1342 0.1624 0.9679 O
0.1624 0.1342 0.4679 O
0.3003 0.4631 0.8539 O
0.3718 0.8843 0.1494 O
0.4631 0.3003 0.3539 O
0.5369 0.6997 0.6461 O
0.6282 0.1157 0.8506 O
0.6997 0.5369 0.1461 O
0.8376 0.8658 0.5321 O
0.8658 0.8376 0.0321 O
0.8843 0.3718 0.6494 O